[1]
This record from Alexandria describes a relaxed structure of Tb6SmDy2Tm. The functional is PBE.

Lattice parameters (Å, degrees): 9.5484 8.7793 8.7793 117.84 93.81 93.81
Sites, in units of the cell vectors:
Tb 0.0560 0.1234 0.7514
Tb 0.4440 0.2486 0.8766
Tb 0.9440 0.8766 0.2486
Tb 0.5560 0.7514 0.1234
Tb 0.3152 0.9840 0.4330
Tb 0.1848 0.5670 0.0160
Tb 0.6848 0.0160 0.5670
Tb 0.8152 0.4330 0.9840
Tb 0.1193 0.7085 0.4930
Tb 0.3807 0.5070 0.2915
Tb 0.8807 0.2915 0.5070
Tb 0.6193 0.4930 0.7085
Sm 0.2500 0.9761 0.0239
Sm 0.7500 0.0239 0.9761
Dy 0.4548 0.8005 0.6965
Dy 0.0452 0.3035 0.1995
Dy 0.5452 0.1995 0.3035
Dy 0.9548 0.6965 0.8005
Tm 0.2500 0.4095 0.5905
Tm 0.7500 0.5905 0.4095

ΔE_f	0.12	eV/atom
density	8.2	g/cm³
symmetry	C2/c
crystal system	monoclinic
final energy	-44.99	eV per formula unit

[2]
This record from Alexandria describes a relaxed structure of Mg5Pd2PtAu2. The functional is PBE.

Lattice parameters (Å, degrees): 2.9942 11.0677 11.0677 90.00 90.00 90.00
Sites, in units of the cell vectors:
Mg 0.5000 0.1576 0.1309
Mg 0.5000 0.8424 0.8691
Mg 0.5000 0.1309 0.8424
Mg 0.5000 0.6576 0.3691
Mg 0.5000 0.8691 0.1576
Mg 0.5000 0.3424 0.6309
Mg 0.5000 0.6309 0.6576
Mg 0.5000 0.3691 0.3424
Mg 0.5000 0.5000 0.0000
Mg 0.5000 0.0000 0.5000
Pd 0.0000 0.1425 0.6425
Pd 0.0000 0.8575 0.3575
Pd 0.0000 0.6425 0.8575
Pd 0.0000 0.3575 0.1425
Pt 0.0000 0.0000 0.0000
Pt 0.0000 0.5000 0.5000
Au 0.0000 0.6511 0.1511
Au 0.0000 0.3489 0.8489
Au 0.0000 0.1511 0.3489
Au 0.0000 0.8489 0.6511

ΔE_f	-0.56	eV/atom
density	8.4	g/cm³
symmetry	P4/mbm
crystal system	tetragonal
final energy	-36.51	eV per formula unit

[3]
This record from Alexandria describes a relaxed structure of Li2PrH. The functional is PBE.

Lattice parameters (Å, degrees): 3.1574 3.1574 9.1471 80.06 80.06 60.00
Sites, in units of the cell vectors:
Pr 0.0000 0.0000 0.0000
H 0.5000 0.5000 0.5000
Li 0.1225 0.1225 0.6324
Li 0.8775 0.8775 0.3676

density	3.3	g/cm³
symmetry	R-3m
crystal system	trigonal
final energy	-11.78	eV per formula unit

[4]
This record from Alexandria describes a relaxed structure of CaSc2Cr. The functional is PBE.

Lattice parameters (Å, degrees): 3.7566 5.1182 5.1220 90.00 90.00 90.00
Sites, in units of the cell vectors:
Sc 0.0000 0.0000 0.0000
Sc 0.5000 0.5000 0.0000
Cr 0.0000 0.5000 0.5000
Ca 0.5000 0.0000 0.5000

ΔE_f	0.44	eV/atom
density	3.1	g/cm³
symmetry	Pmmm
crystal system	orthorhombic
energy above the most stable polymorph in this dataset	224.0	meV per atom
final energy	-22.54	eV per formula unit

[5]
This record from Alexandria describes a relaxed structure of LiIrW. The functional is PBE.

Lattice parameters (Å, degrees): 4.9505 4.9505 4.9505 144.23 144.23 51.48
Sites, in units of the cell vectors:
Ir 0.9936 0.9936 0.0000
Li 0.3416 0.3416 0.0000
W 0.6649 0.6649 0.0000

ΔE_f	0.08	eV/atom
density	15.4	g/cm³
symmetry	I4mm
crystal system	tetragonal
energy above the most stable polymorph in this dataset	61.3	meV per atom
final energy	-23.50	eV per formula unit

[6]
This record from Alexandria describes a relaxed structure of Ac8Os3I4F. The functional is PBE.

Lattice parameters (Å, degrees): 8.7202 9.9882 8.7342 115.94 119.95 90.00
Sites, in units of the cell vectors:
Ac 0.2331 0.6836 0.9504
Ac 0.2347 0.6846 0.4694
Ac 0.2709 0.3129 0.5418
Ac 0.7173 0.6836 0.9504
Ac 0.2827 0.3164 0.0496
Ac 0.7291 0.6871 0.4582
Ac 0.7653 0.3154 0.5306
Ac 0.7669 0.3164 0.0496
Os 0.5000 0.5000 0.0000
Os 0.5000 0.5000 0.5000
Os 0.0000 0.5000 0.5000
I 0.5000 0.0000 0.0000
I 0.5000 0.0000 0.5000
I 0.0000 0.0000 0.0000
I 0.0000 0.0000 0.5000
F 0.0000 0.5000 0.0000

density	8.5	g/cm³
symmetry	C2/m
crystal system	monoclinic
final energy	-88.98	eV per formula unit
ΔE_f (raw)	-14.3	eV per formula unit

[7]
This record from Alexandria describes a relaxed structure of NdMgAgRh. The functional is PBE.

Lattice parameters (Å, degrees): 4.9142 4.9142 4.9142 60.00 60.00 60.00
Sites, in units of the cell vectors:
Rh 0.7500 0.7500 0.7500
Mg 0.5000 0.5000 0.5000
Nd 0.0000 0.0000 0.0000
Ag 0.2500 0.2500 0.2500

ΔE_f	-0.36	eV/atom
density	7.5	g/cm³
symmetry	F-43m
crystal system	cubic
final energy	-18.01	eV per formula unit

[8]
This record from Alexandria describes a relaxed structure of CrMo2Ir. The functional is PBE.

Lattice parameters (Å, degrees): 3.6823 3.6823 9.8329 79.21 79.21 90.00
Sites, in units of the cell vectors:
Cr 0.5000 0.5000 0.0000
Cr 0.2500 0.7500 0.5000
Mo 0.6135 0.1250 0.2500
Mo 0.1365 0.6250 0.2500
Mo 0.3750 0.3865 0.7500
Mo 0.8750 0.8635 0.7500
Ir 0.0000 0.0000 0.0000
Ir 0.7500 0.2500 0.5000

ΔE_f	0.62	eV/atom
density	11.3	g/cm³
symmetry	I-42d
crystal system	tetragonal
energy above the most stable polymorph in this dataset	601.0	meV per atom
final energy	-37.68	eV per formula unit

[9]
This record from Alexandria describes a relaxed structure of CaNpTeO2. The functional is PBE.

Lattice parameters (Å, degrees): 3.9322 3.9322 6.9221 106.50 106.50 90.00
Sites, in units of the cell vectors:
Ca 0.8429 0.8429 0.6857
Np 0.1636 0.1636 0.3272
Te 0.5072 0.5072 0.0145
O 0.7431 0.2431 0.4863
O 0.2431 0.7431 0.4863

density	7.4	g/cm³
symmetry	I4mm
crystal system	tetragonal
final energy	-40.23	eV per formula unit
ΔE_f (raw)	-12.2	eV per formula unit

[10]
This record from Alexandria describes a relaxed structure of Ba2CuSbH. The functional is PBE.

Lattice parameters (Å, degrees): 5.6661 5.6661 4.3243 90.00 90.00 90.00
Sites, in units of the cell vectors:
Sb 0.5000 0.5000 0.5000
Ba 0.0000 0.5000 0.0000
Ba 0.5000 0.0000 0.0000
Cu 0.0000 0.0000 0.5000
H 0.0000 0.0000 0.0000

density	5.5	g/cm³
symmetry	P4/mmm
crystal system	tetragonal
final energy	-17.61	eV per formula unit

[11]
This record from Alexandria describes a relaxed structure of HfPaBiSb. The functional is PBE.

Lattice parameters (Å, degrees): 5.2046 5.2046 5.2046 60.00 60.00 60.00
Sites, in units of the cell vectors:
Sb 0.0000 0.0000 0.0000
Pa 0.7500 0.7500 0.7500
Hf 0.2500 0.2500 0.2500
Bi 0.5000 0.5000 0.5000

density	12.3	g/cm³
symmetry	F-43m
crystal system	cubic
final energy	-28.33	eV per formula unit
ΔE_f (raw)	-0.9	eV per formula unit

[12]
This record from Alexandria describes a relaxed structure of K3Nd2DyTe6. The functional is PBE.

Lattice parameters (Å, degrees): 7.9312 7.9312 8.6699 98.78 98.78 120.01
Sites, in units of the cell vectors:
K 0.1689 0.8311 0.5000
K 0.8311 0.1689 0.5000
K 0.5000 0.5000 0.5000
Nd 0.3337 0.6663 0.0000
Nd 0.6663 0.3337 0.0000
Dy 0.0000 0.0000 0.0000
Te 0.9294 0.6033 0.7877
Te 0.7452 0.7452 0.2129
Te 0.0706 0.3967 0.2123
Te 0.6033 0.9294 0.7877
Te 0.2548 0.2548 0.7871
Te 0.3967 0.0706 0.2123

density	4.9	g/cm³
symmetry	C2/m
crystal system	monoclinic
final energy	-53.19	eV per formula unit
ΔE_f (raw)	-16.9	eV per formula unit

[13]
This record from Alexandria describes a relaxed structure of LiPmNd. The functional is PBE.

Lattice parameters (Å, degrees): 3.6936 3.6936 13.2148 90.03 90.03 90.00
Sites, in units of the cell vectors:
Li 0.7494 0.7494 0.5495
Li 0.2506 0.2506 0.4505
Pm 0.2491 0.2491 0.7123
Pm 0.7509 0.7509 0.2877
Nd 0.7496 0.7496 0.9005
Nd 0.2504 0.2504 0.0995

ΔE_f	0.04	eV/atom
density	5.5	g/cm³
symmetry	C2/m
crystal system	monoclinic
energy above the most stable polymorph in this dataset	0.0	meV per atom
final energy	-11.30	eV per formula unit

[14]
This record from Alexandria describes a relaxed structure of AsIr2Ru. The functional is PBE.

Lattice parameters (Å, degrees): 8.6505 8.6505 8.6505 18.85 18.85 18.85
Sites, in units of the cell vectors:
Ru 0.2500 0.2500 0.2500
As 0.7500 0.7500 0.7500
Ir 0.0018 0.0018 0.0018
Ir 0.4982 0.4982 0.4982

ΔE_f	0.17	eV/atom
density	15.8	g/cm³
symmetry	R-3m
crystal system	trigonal
final energy	-30.96	eV per formula unit

[15]
This record from Alexandria describes a relaxed structure of Ba2HoAu. The functional is PBE.

Lattice parameters (Å, degrees): 4.0189 4.0189 12.1595 80.49 80.49 60.00
Sites, in units of the cell vectors:
Au 0.5000 0.5000 0.5000
Ho 0.0000 0.0000 0.0000
Ba 0.1032 0.1032 0.6904
Ba 0.8968 0.8968 0.3096

ΔE_f	0.09	eV/atom
density	6.3	g/cm³
symmetry	R-3m
crystal system	trigonal
final energy	-11.36	eV per formula unit

[16]
This record from Alexandria describes a relaxed structure of Ba4Ga3Pd. The functional is PBE.

Lattice parameters (Å, degrees): 5.1548 4.5625 11.8212 90.00 90.00 90.00
Sites, in units of the cell vectors:
Pd 0.5000 0.5000 0.0523
Ba 0.5000 0.5000 0.3502
Ba 0.0000 0.5000 0.8602
Ba 0.0000 0.0000 0.1458
Ba 0.5000 0.0000 0.6433
Ga 0.0000 0.5000 0.5524
Ga 0.0000 0.0000 0.4429
Ga 0.5000 0.0000 0.9529

ΔE_f	-0.42	eV/atom
density	5.2	g/cm³
symmetry	Pmm2
crystal system	orthorhombic
final energy	-25.35	eV per formula unit

[17]
This record from Alexandria describes a relaxed structure of Sc2TaBr. The functional is PBE.

Lattice parameters (Å, degrees): 5.6518 5.6518 5.6518 136.60 136.60 63.06
Sites, in units of the cell vectors:
Br 0.7500 0.2500 0.5000
Sc 0.0000 0.0000 0.0000
Sc 0.2500 0.7500 0.5000
Ta 0.5000 0.5000 0.0000

density	6.9	g/cm³
symmetry	I-4m2
crystal system	tetragonal
energy above the most stable polymorph in this dataset	631.8	meV per atom
final energy	-24.87	eV per formula unit
ΔE_f (raw)	1.3	eV per formula unit

[18]
This record from Alexandria describes a relaxed structure of YEr6Th. The functional is PBE.

Lattice parameters (Å, degrees): 4.9999 4.9999 9.9213 90.00 90.00 90.00
Sites, in units of the cell vectors:
Y 0.0000 0.0000 0.0000
Er 0.5000 0.5000 0.0000
Er 0.5000 0.5000 0.5000
Er 0.5000 0.0000 0.2525
Er 0.5000 0.0000 0.7475
Er 0.0000 0.5000 0.2525
Er 0.0000 0.5000 0.7475
Th 0.0000 0.0000 0.5000

ΔE_f	0.03	eV/atom
density	8.9	g/cm³
symmetry	P4/mmm
crystal system	tetragonal
final energy	-41.00	eV per formula unit

[19]
This record from Alexandria describes a relaxed structure of Li2NbCl6. The functional is PBE.

Lattice parameters (Å, degrees): 6.0422 6.0422 11.2929 90.00 90.00 90.00
Sites, in units of the cell vectors:
Li 0.0000 0.0000 0.3264
Li 0.5000 0.5000 0.8264
Li 0.5000 0.5000 0.1736
Li 0.0000 0.0000 0.6736
Nb 0.0000 0.0000 0.0000
Nb 0.5000 0.5000 0.5000
Cl 0.3045 0.3045 0.3410
Cl 0.6955 0.6955 0.3410
Cl 0.1955 0.8045 0.8410
Cl 0.8045 0.1955 0.8410
Cl 0.1955 0.8045 0.1590
Cl 0.8045 0.1955 0.1590
Cl 0.3045 0.3045 0.6590
Cl 0.6955 0.6955 0.6590
Cl 0.2833 0.2833 0.0000
Cl 0.7167 0.7167 0.0000
Cl 0.2167 0.7833 0.5000
Cl 0.7833 0.2167 0.5000

density	2.6	g/cm³
symmetry	P4_2/mnm
crystal system	tetragonal
energy above the most stable polymorph in this dataset	13.1	meV per atom
final energy	-38.02	eV per formula unit
ΔE_f (raw)	-13.0	eV per formula unit

[20]
This record from Alexandria describes a relaxed structure of CoSi3P3. The functional is PBE.

Lattice parameters (Å, degrees): 5.7217 5.9242 12.7931 89.88 90.00 90.00
Sites, in units of the cell vectors:
Co 0.9644 0.9936 0.8787
Co 0.4644 0.0064 0.1213
Co 0.5329 0.4816 0.6140
Co 0.0329 0.5184 0.3860
Si 0.9701 0.1730 0.3197
Si 0.4701 0.8270 0.6803
Si 0.9350 0.6276 0.2234
Si 0.4350 0.3724 0.7766
Si 0.3319 0.9220 0.9545
Si 0.8319 0.0780 0.0455
Si 0.9017 0.5270 0.6717
Si 0.4017 0.4730 0.3283
Si 0.0021 0.0640 0.5729
Si 0.5021 0.9360 0.4271
Si 0.9146 0.6388 0.9274
Si 0.4146 0.3612 0.0726
P 0.5911 0.0253 0.8262
P 0.0911 0.9747 0.1738
P 0.5158 0.5620 0.9273
P 0.0158 0.4380 0.0727
P 0.6069 0.1249 0.5734
P 0.1069 0.8751 0.4266
P 0.5414 0.6538 0.1797
P 0.0414 0.3462 0.8203
P 0.5753 0.1318 0.2794
P 0.0753 0.8682 0.7206
P 0.1635 0.4148 0.5491
P 0.6635 0.5852 0.4509

density	3.6	g/cm³
symmetry	P2_1
crystal system	monoclinic
final energy	-41.83	eV per formula unit
ΔE_f (raw)	-2.2	eV per formula unit